Here is a relaxed YCr2O4 crystal from Alexandria via LeMat-Bulk. Energies are from GGA+U.

E above lowest polymorph = 0.0 meV per atom
total magnetization = 14.000 μB/cell
uncorrected energy = -114.6 eV per cell

Cell lengths 6.285, 6.285, 6.285 Å; angles 61.16, 61.16, 61.16 degrees
Element x y z (fractional)
Y1 0.121 0.121 0.121
Y2 0.879 0.879 0.879
Cr1 0.000 0.500 0.500
Cr2 0.500 0.000 0.500
Cr3 0.500 0.500 0.000
Cr4 0.500 0.500 0.500
O1 0.258 0.258 0.258
O2 0.268 0.268 0.701
O3 0.268 0.701 0.268
O4 0.299 0.732 0.732
O5 0.701 0.268 0.268
O6 0.732 0.299 0.732
O7 0.732 0.732 0.299
O8 0.742 0.742 0.742